1.
Here is crystalline UBeP2 at its relaxed geometry from Alexandria via LeMat-Bulk. Energies are from PBE.

Computed properties:
formation energy: -0.137 eV per atom
magnetization: 2.000 μB per formula unit
uncorrected energy: -26.381 eV/cell

Cell: 4.176 4.176 7.163 Å, 73.05 73.05 60.00°
Site moments in Bohr magnetons follow the coordinates.
Element x y z (fractional)
1 P 0.901 0.901 0.296  -0.06
2 Be 0.000 0.000 0.000  0.00
3 U 0.500 0.500 0.500  2.00
4 P 0.099 0.099 0.704  -0.06


2.
Here is crystalline ZnGa2As at its relaxed geometry from Alexandria via LeMat-Bulk. Energies are from PBE.

Computed properties:
polymorph energy (0 for the lowest one): 0.0 meV/atom
formation energy: 0.081 eV per atom
magnetization: 0.000 μB per formula unit
uncorrected energy: -23.308 eV/cell

Cell: 6.175 6.175 6.727 Å, 62.68 62.68 90.00°
Element x y z (fractional)
1 Ga 0.118 0.625 0.250
2 Ga 0.632 0.125 0.250
3 Ga 0.375 0.368 0.750
4 As 0.000 0.000 0.000
5 Zn 0.500 0.500 0.000
6 Ga 0.875 0.882 0.750
7 As 0.750 0.250 0.500
8 Zn 0.250 0.750 0.500


3.
Here is crystalline BaNaInPd2 at its relaxed geometry from Alexandria via LeMat-Bulk. Energies are from PBE.

Computed properties:
formation energy: 0.183 eV per atom
magnetization: 0.000 μB per formula unit
uncorrected energy: -15.451 eV/cell

Cell: 5.178 5.223 5.178 Å, 90.00 90.00 90.00°
Element x y z (fractional)
1 Na 0.000 0.000 0.000
2 Ba 0.500 0.500 0.500
3 Pd 0.000 0.000 0.500
4 Pd 0.500 0.000 0.000
5 In 0.000 0.500 0.000


4.
Here is crystalline Na3CaBr at its relaxed geometry from Alexandria via LeMat-Bulk. Energies are from PBE.

Computed properties:
polymorph energy (0 for the lowest one): 618.0 meV/atom
magnetization: 1.725 μB per formula unit
energy relative to the elements, uncorrected: 0.272 eV per atom
uncorrected energy: -6.274 eV/cell

Cell: 6.734 6.734 6.734 Å, 90.00 90.00 90.00°
Site moments in Bohr magnetons follow the coordinates.
Element x y z (fractional)
1 Ca 0.000 0.000 0.000  0.15
2 Na 0.000 0.000 0.500  0.03
3 Na 0.000 0.500 0.000  0.06
4 Na 0.500 0.000 0.000  0.07
5 Br 0.500 0.500 0.500  0.06


5.
Here is crystalline Mn2BeGe at its relaxed geometry from Alexandria via LeMat-Bulk. Energies are from PBE.

Computed properties:
formation energy: -0.092 eV per atom
magnetization: 4.722 μB per formula unit
uncorrected energy: -27.050 eV/cell

Cell: 3.504 3.655 3.655 Å, 90.00 90.00 90.00°
Site moments in Bohr magnetons follow the coordinates.
Element x y z (fractional)
1 Be 0.500 0.000 0.000  -0.08
2 Ge 0.500 0.500 0.500  -0.08
3 Mn 0.000 0.500 0.000  2.39
4 Mn 0.000 0.000 0.500  2.39


6.
Here is crystalline LiScGeH2 at its relaxed geometry from Alexandria via LeMat-Bulk. Energies are from PBE.

Computed properties:
magnetization: 0.000 μB per formula unit
uncorrected energy: -19.998 eV/cell

Cell: 3.779 5.689 3.779 Å, 90.00 90.00 90.00°
Element x y z (fractional)
1 H 0.000 0.000 0.500
2 Li 0.500 0.500 0.500
3 Sc 0.000 0.000 0.000
4 H 0.500 0.000 0.000
5 Ge 0.000 0.500 0.000